Ho2ZnSi3Ni12 (GGA-PBE, relaxed); volume = 13.38 Å³/atom; SG = No. 166; ΔE_f (raw) = -0.198 eV per atom
1.0
6.0267 -1.3501 -0.9576
1.8023 5.9072 -0.9576
1.8023 1.0491 5.8917
Ho Ni Si Zn
2 12 3 1
Cartesian
3.3341 1.9407 1.3766 Ho
6.2971 3.6655 2.5999 Ho
4.9067 0.3502 0.2484 Ni
4.6428 2.7025 4.5742 Ni
6.9036 1.5126 3.7280 Ni
4.6428 5.2104 1.0383 Ni
4.9885 0.3958 2.9381 Ni
4.7246 5.2560 3.7280 Ni
4.9885 2.9037 -0.5978 Ni
2.8077 4.1423 2.9381 Ni
6.9036 4.0184 0.1951 Ni
2.7277 4.0937 0.2484 Ni
2.7277 1.5878 3.7814 Ni
6.8236 1.4639 1.0383 Ni
0.9011 2.9536 -0.4788 Si
0.9011 0.5245 2.9458 Si
3.0133 -0.6751 -0.4788 Si
0.0000 0.0000 0.0000 Zn


Er13Th3 (GGA-PBE, relaxed); volume = 31.34 Å³/atom; SG = No. 38
1.0
7.1680 0.0000 0.0000
0.0000 8.3394 -0.8367
0.0000 0.0823 8.3808
Er Th
13 3
Cartesian
0.0000 5.9429 6.0296 Er
3.5840 2.4600 5.7265 Er
3.5840 6.6230 1.0793 Er
1.7804 8.0188 3.7227 Er
5.3877 8.0188 3.7227 Er
5.3877 3.8426 -0.0184 Er
3.5840 5.9839 6.0024 Er
1.7759 4.5611 3.3810 Er
0.0000 6.6386 1.0619 Er
5.3922 4.5611 3.3810 Er
1.7804 3.8426 -0.0184 Er
3.5840 1.7997 2.2541 Er
0.0000 1.7771 2.2979 Er
5.3693 0.4273 7.9957 Th
0.0000 2.4483 5.7396 Th
1.7987 0.4273 7.9957 Th


SmGdTlZn (GGA-PBE, relaxed); volume = 26.34 Å³/atom; SG = No. 216
1.0
5.3012 0.0000 0.0000
2.6506 4.5910 0.0000
2.6506 1.5303 4.3284
Zn Tl Gd Sm
1 1 1 1
Cartesian
7.9518 4.5910 3.2463 Zn
2.6506 1.5303 1.0821 Tl
5.3012 3.0606 2.1642 Gd
0.0000 0.0000 0.0000 Sm


Values of total energy, in order: -5.535 -5.073 -5.959, all in eV per atom.